1.
An optimized crystal structure of LiLaGd2, computed with PBE.

Properties
Polymorph energy (0 for the lowest one)   0.112 eV per atom
Calculated formation energy   177 meV/atom
N(E_F)   5.51 states/eV/cell

Cell and atoms, written as POSCAR:
```
LiLaGd2
1.0
0.000 3.912 3.912
3.912 0.000 3.912
3.912 3.912 0.000
Li La Gd
1 1 2
Direct
0.000 0.000 0.000
0.500 0.500 0.500
0.250 0.250 0.250
0.750 0.750 0.750
```

---

2.
An optimized crystal structure of Li3Al2Ag8, computed with PBE.

Properties
Calculated formation energy   16 meV/atom
N(E_F)   4.62 states/eV/cell

Cell and atoms, written as POSCAR:
```
Li3Al2Ag8
1.0
2.728 1.575 9.532
-2.728 1.575 9.532
0.000 -3.150 9.532
Li Al Ag
3 2 8
Direct
0.000 0.000 0.000
0.187 0.187 0.187
0.813 0.813 0.813
0.366 0.366 0.366
0.634 0.634 0.634
0.223 0.726 0.726
0.274 0.274 0.777
0.274 0.777 0.274
0.279 0.279 0.279
0.721 0.721 0.721
0.726 0.223 0.726
0.726 0.726 0.223
0.777 0.274 0.274
```

---

3.
An optimized crystal structure of Dy4P2Se, computed with PBE.

Properties
N(E_F)   3.94 states/eV/cell
Formation energy without anion corrections   -10.05 eV/f.u.

Cell and atoms, written as POSCAR:
```
Dy4P2Se
1.0
1.980 1.143 13.043
-1.980 1.143 13.043
0.000 -2.287 13.043
Dy P Se
4 2 1
Direct
0.127 0.127 0.127
0.286 0.286 0.286
0.714 0.714 0.714
0.873 0.873 0.873
0.420 0.420 0.420
0.580 0.580 0.580
0.000 0.000 0.000
```